# 1
Density functional theory data (meta-GGA SCAN) for a crystal of La2ZrCo relaxed with PBEsol.

Properties
- Relative energy among the computed polymorphs: 270 meV/atom

abc: 4.966 4.966 4.966
angles: 60.00 60.00 60.00
Last column: magnetic moment on the atom in μB.
Fractional positions:
Co 0.500 0.500 0.500  1.66
La 0.000 0.000 0.000  -0.38
La 0.750 0.750 0.750  -0.18
Zr 0.250 0.250 0.250  -0.50

---

# 2
Density functional theory data (meta-GGA SCAN) for a crystal of Pr2Al relaxed with PBEsol.

abc: 5.225 6.662 9.822
angles: 90.00 90.00 90.00
Fractional positions:
Pr 0.250 0.308 0.579
Pr 0.750 0.692 0.421
Pr 0.250 0.808 0.921
Pr 0.750 0.192 0.079
Pr 0.250 0.477 0.203
Pr 0.750 0.523 0.797
Pr 0.250 0.977 0.297
Pr 0.750 0.023 0.703
Al 0.250 0.791 0.601
Al 0.750 0.209 0.399
Al 0.250 0.291 0.899
Al 0.750 0.709 0.101

---

# 3
Density functional theory data (meta-GGA SCAN) for a crystal of CoTcIr2 relaxed with PBEsol.

Properties
- Relative energy among the computed polymorphs: 17 meV/atom

abc: 3.759 3.759 4.558
angles: 114.35 114.35 90.00
Last column: magnetic moment on the atom in μB.
Fractional positions:
Ir 0.750 0.250 0.500  0.07
Ir 0.250 0.750 0.500  0.07
Co 0.500 0.500 0.000  1.63
Tc 0.000 0.000 0.000  -0.64

---

# 4
Density functional theory data (meta-GGA SCAN) for a crystal of InW2Br relaxed with PBEsol.

Properties
- Relative energy among the computed polymorphs: 769 meV/atom
- ΔE_f (raw): 1.29 eV per atom

abc: 4.306 4.891 4.306
angles: 63.88 90.00 116.12
Fractional positions:
Br 0.500 0.000 0.500
W 0.000 0.000 0.000
W 0.250 0.500 0.250
In 0.750 0.500 0.750

---

| no. | energy (eV/cell) | Fermi-level density of states (states/eV/atom) |
| --- | --- | --- |
| 1 | -132.63 | 1.17 |
| 2 | -380.88 | 1.02 |
| 3 | -195.01 | 0.81 |
| 4 | -187.08 | 0.29 |